VASP calculation (PBE-GGA) on a relaxed structure of LiMg.

The value obtained for the formation energy from the elements is -0.0504 eV per atom.

The space group is P2_1/m (No. 11) and the conventional cell measures 3.0297, 4.7168 and 5.9966 Å, with angles of 90.00, 104.23 and 90.00 degrees. Symmetry generates all atoms from Li at (0.0158, 0.2500, 0.1255) and Mg at (0.3340, 0.2500, 0.6416).